This record from the Alexandria database describes a relaxed structure of Sr2CaCrO6. The functional is GGA+U.

Total magnetic moment ... 0.00 μB/f.u.
DFT total energy ... -6.437 eV/atom

Cell lengths 5.7576, 5.7576, 5.7576 Å; angles 60.00, 60.00, 60.00 degrees
Closest atoms and distances in Å follow each position.
Atoms (fractional coordinates):
1 Sr 0.2500 0.2500 0.2500  12 O 2.89
2 Sr 0.7500 0.7500 0.7500  12 O 2.89
3 Ca 0.0000 0.0000 0.0000  6 O 2.23
4 Cr 0.5000 0.5000 0.5000  6 O 1.84
5 O 0.2737 0.2737 0.7263  1 Cr 1.84
6 O 0.2737 0.7263 0.2737  1 Cr 1.84
7 O 0.2737 0.7263 0.7263  1 Cr 1.84
8 O 0.7263 0.2737 0.2737  1 Cr 1.84
9 O 0.7263 0.2737 0.7263  1 Cr 1.84
10 O 0.7263 0.7263 0.2737  1 Cr 1.84